Ce3TlHg2 after structural relaxation. Source: the Alexandria database, functional PBE.

The structure belongs to space group P4/mmm (No. 123); the cell edges are 3.4164, 3.4164 and 13.8980 Å and the angles 90.00°, 90.00° and 90.00°. The inequivalent atoms are Ce at (0.0000, 0.0000, 0.0000), Ce at (0.0000, 0.0000, 0.3272), Tl at (0.5000, 0.5000, 0.5000) and Hg at (0.5000, 0.5000, 0.1640).

The total moment is 0.58 μB/atom. The calculated density comes out at 10.5 g cm⁻³. The density of states at the Fermi level comes out at 3.1303 states/eV/atom. Its formation energy is -0.278 eV/atom.